A geometry-optimized CsK2Ba structure, computed with PBE.

## Properties
**Volume**: 79.0 Å³ per atom
**Energy**: -1.14 eV/atom
**Excess energy over the best structure of this formula in the dataset**: 0.026 eV/atom
**Mass density**: 1.83 g cm⁻³

Lattice parameters (Å, degrees): 4.6782 4.6782 16.6806 90.00 90.00 120.00
Space group P3m1 (No. 156)
Inequivalent atoms, fractional coordinates:
Cs: 0.0000 0.0000 0.0000 (multiplicity 1)
K: 0.3333 0.6667 0.7426 (multiplicity 1)
K: 0.6667 0.3333 0.2584 (multiplicity 1)
Ba: 0.6667 0.3333 0.5166 (multiplicity 1)



A geometry-optimized Zn2CuTe structure, computed with PBE.

## Properties
**E_form (uncorrected)**: 95 kJ/mol of formula units
**Volume**: 18.4 Å³ per atom
**Energy**: -2.20 eV/atom
**Excess energy over the best structure of this formula in the dataset**: 0.227 eV/atom
**Mass density**: 7.27 g cm⁻³

Lattice parameters (Å, degrees): 4.242 4.242 8.176 90.00 90.00 90.00
Space group I-4m2 (No. 119)
Inequivalent atoms, fractional coordinates:
Zn: 0.000 0.000 0.000 (multiplicity 2)
Zn: 0.000 0.500 0.250 (multiplicity 2)
Cu: 0.000 0.500 0.750 (multiplicity 2)
Te: 0.000 0.000 0.500 (multiplicity 2)



A geometry-optimized Na2AcTl2Cd2 structure, computed with PBE.

## Properties
**Volume**: 28.9 Å³ per atom
**Energy**: -2.07 eV/atom
**Mass density**: 7.44 g cm⁻³

Lattice parameters (Å, degrees): 9.940 5.153 8.051 90.00 101.21 90.00
Space group C2/m (No. 12)
Inequivalent atoms, fractional coordinates:
Na: 0.098 0.000 0.199 (multiplicity 4)
Ac: 0.000 0.500 0.500 (multiplicity 2)
Tl: 0.202 0.000 0.700 (multiplicity 4)
Cd: 0.129 0.500 0.932 (multiplicity 4)